First-principles (PBE-GGA) data for an optimized crystal structure of ZnHgSO, as listed in OQMD.

Summary:
The total energy comes out at -3.261 eV per atom. Its energy above the most stable polymorph in this dataset is 0.168 eV per formula unit. The crystal system is orthorhombic.

Lattice parameters (Å, degrees): 5.9073 6.7945 7.5085 90.00 90.00 90.00
Closest atoms and distances in Å follow each position.
Atoms (fractional coordinates):
Zn 0.0943 0.1989 0.0937  2 O 1.95-2.00
Zn 0.4057 0.8011 0.5937  2 O 1.95-2.00
Zn 0.5943 0.3011 0.9063  2 O 1.95-2.00
Zn 0.9057 0.6989 0.4063  2 O 1.95-2.00
Hg 0.0227 0.6325 0.8825  2 O 2.27-2.39, 1 S 2.52
Hg 0.4773 0.3675 0.3825  2 O 2.27-2.39, 1 S 2.52
Hg 0.5227 0.8675 0.1175  2 O 2.27-2.39, 1 S 2.52
Hg 0.9773 0.1325 0.6175  2 O 2.27-2.39, 1 S 2.52
S 0.0152 0.3701 0.3615  2 Zn 2.35-2.37, 1 Hg 2.52
S 0.4848 0.6299 0.8615  2 Zn 2.35-2.37, 1 Hg 2.52
S 0.5152 0.1299 0.6385  2 Zn 2.35-2.37, 1 Hg 2.52
S 0.9848 0.8701 0.1385  2 Zn 2.35-2.37, 1 Hg 2.52
O 0.0673 0.8084 0.6092  2 Zn 1.95-2.00
O 0.4327 0.1916 0.1092  2 Zn 1.95-2.00
O 0.5673 0.6916 0.3908  2 Zn 1.95-2.00
O 0.9327 0.3084 0.8908  2 Zn 1.95-2.00